Entry 1:
A geometry-optimized CoBiO4 structure, computed with PBE with a Hubbard U.

Size of the total moment in μB/f.u.: 1.84
Final energy in hartree per atom: -0.2047
Relative energy among the computed polymorphs in eV per atom: 0.030
Theoretical density in Mg/m³: 7.62

Geometry as CIF:
```
data_CoBiO4
_chemical_formula_sum 'Co2 Bi2 O8'
_space_group_name_H-M_alt 'C m m m'
_space_group_IT_number 65
_space_group_name_Hall '-C 2 2'
_cell_length_a 6.5442
_cell_length_b 6.6104
_cell_length_c 3.3449
_cell_angle_alpha 90.00
_cell_angle_beta 90.00
_cell_angle_gamma 90.00
loop_
_atom_site_label
_atom_site_type_symbol
_atom_site_fract_x
_atom_site_fract_y
_atom_site_fract_z
Co1 Co 0.0000 0.0000 0.0000
Bi1 Bi 0.0000 0.5000 0.5000
O1 O 0.0000 0.1757 0.5000
O2 O 0.2144 0.5000 0.0000
```

***

Entry 2:
A geometry-optimized WSO2F structure, computed with PBE with a Hubbard U.

Size of the total moment in μB/f.u.: 4.41
Final energy in hartree per atom: -0.1692
Theoretical density in Mg/m³: 6.09

Geometry as CIF:
```
data_WSO2F
_chemical_formula_sum 'W1 S1 O2 F1'
_space_group_name_H-M_alt 'P 4/m m m'
_space_group_IT_number 123
_space_group_name_Hall '-P 4 2'
_cell_length_a 3.5763
_cell_length_b 3.5763
_cell_length_c 5.6928
_cell_angle_alpha 90.00
_cell_angle_beta 90.00
_cell_angle_gamma 90.00
loop_
_atom_site_label
_atom_site_type_symbol
_atom_site_fract_x
_atom_site_fract_y
_atom_site_fract_z
W1 W 0.0000 0.0000 0.0000
S1 S 0.5000 0.5000 0.5000
O1 O 0.0000 0.5000 0.5000
F1 F 0.5000 0.5000 0.0000
```